1.
Compound: PmAu3
Source: the Alexandria database
Functional: PBE-GGA
Structure: relaxed

Unit cell a=4.989 b=4.991 c=4.950 alpha=120.27 beta=120.26 gamma=90.00
Atoms (fractional coordinates):
Au 0.250 0.666 0.500
Au 0.500 0.417 0.000
Au 0.750 0.167 0.500
Pm 0.000 0.917 0.000

DOS at the Fermi energy = 1.29 states/eV per cell
Theoretical density = 14.14 Mg/m³
Energy relative to the lowest polymorph listed for this composition = 11 meV per atom
Formation enthalpy at 0 K = -0.645 eV/atom

***

2.
Compound: PmAu4
Source: the Alexandria database
Functional: PBE-GGA
Structure: relaxed

Unit cell a=5.543 b=5.543 c=5.543 alpha=90.00 beta=90.00 gamma=90.00
Atoms (fractional coordinates):
Pm 0.500 0.500 0.500
Au 0.500 0.000 0.500
Au 0.000 0.500 0.500
Au 0.500 0.500 0.000
Au 0.000 0.000 0.000

DOS at the Fermi energy = 1.88 states/eV per cell
Theoretical density = 9.10 Mg/m³
Energy relative to the lowest polymorph listed for this composition = 1138 meV per atom
Formation enthalpy at 0 K = 0.682 eV/atom

***

3.
Compound: Pm5Au
Source: the Alexandria database
Functional: PBE-GGA
Structure: relaxed

Unit cell a=4.979 b=4.723 c=8.116 alpha=106.92 beta=90.00 gamma=90.00
Atoms (fractional coordinates):
Pm 0.000 0.341 0.683
Pm 0.500 0.831 0.662
Pm 0.500 0.169 0.338
Pm 0.000 0.659 0.317
Pm 0.500 0.500 0.000
Au 0.000 0.000 0.000

DOS at the Fermi energy = 7.16 states/eV per cell
Theoretical density = 8.38 Mg/m³
Formation enthalpy at 0 K = -0.126 eV/atom

***

Please write out number 3 again, unchanged.
Compound: Pm5Au
Source: the Alexandria database
Functional: PBE-GGA
Structure: relaxed

Unit cell a=4.979 b=4.723 c=8.116 alpha=106.92 beta=90.00 gamma=90.00
Atoms (fractional coordinates):
Pm 0.000 0.341 0.683
Pm 0.500 0.831 0.662
Pm 0.500 0.169 0.338
Pm 0.000 0.659 0.317
Pm 0.500 0.500 0.000
Au 0.000 0.000 0.000

DOS at the Fermi energy = 7.16 states/eV per cell
Theoretical density = 8.38 Mg/m³
Formation enthalpy at 0 K = -0.126 eV/atom

***

> DOS at the Fermi energy of number 1 (PmAu3)?

1.29 states/eV per cell

***

> Which formula does entry 2 have?

PmAu4

***

> What is the formula in the second record?

PmAu4